[1]
Here is an optimized crystal structure of ZrZnCo3 from Alexandria via LeMat-Bulk. Energies are from PBE.

Geometry as CIF:
```
data_ZrZnCo3
_space_group_name_H-M_alt 'P m -3 m'
_space_group_IT_number 221
_space_group_name_Hall '-P 4 2 3'
_cell_length_a 4.5339
_cell_length_b 4.5339
_cell_length_c 4.5339
_cell_angle_alpha 90.00
_cell_angle_beta 90.00
_cell_angle_gamma 90.00
loop_
_atom_site_label
_atom_site_type_symbol
_atom_site_fract_x
_atom_site_fract_y
_atom_site_fract_z
Zr1 Zr 0.0000 0.0000 0.0000
Zn1 Zn 0.5000 0.5000 0.5000
Co1 Co 0.0000 0.0000 0.5000
```

Its distance to the lowest polymorph of the same formula is 3.540 eV per formula unit.


[2]
Here is an optimized crystal structure of Pm7Ge3Bi from Alexandria via LeMat-Bulk. Energies are from PBE.

Geometry as CIF:
```
data_Pm7Ge3Bi
_space_group_name_H-M_alt 'C 1 2/m 1'
_space_group_IT_number 12
_cell_length_a 8.9926
_cell_length_b 10.8223
_cell_length_c 7.1361
_cell_angle_alpha 90.00
_cell_angle_beta 105.30
_cell_angle_gamma 90.00
loop_
_space_group_symop_operation_xyz
'x,y,z'
'-x,-y,-z'
'-x,y,-z'
'x,-y,z'
'x+1/2,y+1/2,z'
'-x+1/2,-y+1/2,-z'
'-x+1/2,y+1/2,-z'
'x+1/2,-y+1/2,z'
loop_
_atom_site_label
_atom_site_type_symbol
_atom_site_fract_x
_atom_site_fract_y
_atom_site_fract_z
Pm1 Pm 0.0000 0.0000 0.0000
Pm2 Pm 0.1605 0.5000 0.1914
Pm3 Pm 0.1812 0.2970 0.7185
Ge1 Ge 0.0000 0.2718 0.0000
Ge2 Ge 0.0000 0.5000 0.5000
Bi1 Bi 0.0000 0.0000 0.5000
```

The value obtained for the final energy is -0.3800 Ry per atom.


[3]
Here is an optimized crystal structure of NdSn2Bi from Alexandria via LeMat-Bulk. Energies are from PBE.

Geometry as CIF:
```
data_NdSn2Bi
_space_group_name_H-M_alt 'P 4/m m m'
_space_group_IT_number 123
_space_group_name_Hall '-P 4 2'
_cell_length_a 4.8240
_cell_length_b 4.8240
_cell_length_c 4.9401
_cell_angle_alpha 90.00
_cell_angle_beta 90.00
_cell_angle_gamma 90.00
loop_
_atom_site_label
_atom_site_type_symbol
_atom_site_fract_x
_atom_site_fract_y
_atom_site_fract_z
Nd1 Nd 0.0000 0.0000 0.0000
Sn1 Sn 0.0000 0.5000 0.5000
Bi1 Bi 0.5000 0.5000 0.0000
```

Its distance to the lowest polymorph of the same formula is 0.000 eV per formula unit.


[4]
Here is an optimized crystal structure of CsLaW2 from Alexandria via LeMat-Bulk. Energies are from PBE.

Geometry as CIF:
```
data_CsLaW2
_space_group_name_H-M_alt 'I 4/m m m'
_space_group_IT_number 139
_space_group_name_Hall '-I 4 2'
_cell_length_a 4.1212
_cell_length_b 4.1212
_cell_length_c 11.2814
_cell_angle_alpha 90.00
_cell_angle_beta 90.00
_cell_angle_gamma 90.00
loop_
_atom_site_label
_atom_site_type_symbol
_atom_site_fract_x
_atom_site_fract_y
_atom_site_fract_z
Cs1 Cs 0.0000 0.0000 0.0000
La1 La 0.0000 0.0000 0.5000
W1 W 0.0000 0.5000 0.2500
```

Its distance to the lowest polymorph of the same formula is 0.000 eV per formula unit.


[5]
Here is an optimized crystal structure of PuMnNi from Alexandria via LeMat-Bulk. Energies are from PBE.

Geometry as CIF:
```
data_PuMnNi
_space_group_name_H-M_alt 'I m m a'
_space_group_IT_number 74
_space_group_name_Hall '-I 2b 2'
_cell_length_a 5.0324
_cell_length_b 5.3417
_cell_length_c 7.0695
_cell_angle_alpha 90.00
_cell_angle_beta 90.00
_cell_angle_gamma 90.00
loop_
_atom_site_label
_atom_site_type_symbol
_atom_site_fract_x
_atom_site_fract_y
_atom_site_fract_z
Pu1 Pu 0.0000 0.2500 0.1232
Mn1 Mn 0.0000 0.0000 0.5000
Ni1 Ni 0.2500 0.2500 0.7500
```

The value obtained for the final energy is -0.7316 Ry per atom.


[6]
Here is an optimized crystal structure of TbPu2As3 from Alexandria via LeMat-Bulk. Energies are from PBE.

Geometry as CIF:
```
data_TbPu2As3
_space_group_name_H-M_alt 'I m m m'
_space_group_IT_number 71
_space_group_name_Hall '-I 2 2'
_cell_length_a 4.1383
_cell_length_b 5.8435
_cell_length_c 12.3901
_cell_angle_alpha 90.00
_cell_angle_beta 90.00
_cell_angle_gamma 90.00
loop_
_atom_site_label
_atom_site_type_symbol
_atom_site_fract_x
_atom_site_fract_y
_atom_site_fract_z
Tb1 Tb 0.0000 0.0000 0.0000
Pu1 Pu 0.0000 0.0000 0.3343
As1 As 0.0000 0.5000 0.0000
As2 As 0.0000 0.5000 0.3308
```

Its distance to the lowest polymorph of the same formula is 0.000 eV per formula unit.


[7]
Here is an optimized crystal structure of LaIn4Re from Alexandria via LeMat-Bulk. Energies are from PBE.

Geometry as CIF:
```
data_LaIn4Re
_space_group_name_H-M_alt 'F -4 3 m'
_space_group_IT_number 216
_space_group_name_Hall 'F -4 2 3'
_cell_length_a 8.3366
_cell_length_b 8.3366
_cell_length_c 8.3366
_cell_angle_alpha 90.00
_cell_angle_beta 90.00
_cell_angle_gamma 90.00
loop_
_atom_site_label
_atom_site_type_symbol
_atom_site_fract_x
_atom_site_fract_y
_atom_site_fract_z
La1 La 0.0000 0.0000 0.0000
In1 In 0.1243 0.1243 0.3757
Re1 Re 0.2500 0.2500 0.7500
```

The value obtained for the final energy is -0.3138 Ry per atom.


[8]
Here is an optimized crystal structure of TbBCl from Alexandria via LeMat-Bulk. Energies are from PBE.

Geometry as CIF:
```
data_TbBCl
_space_group_name_H-M_alt 'C 1 2/m 1'
_space_group_IT_number 12
_cell_length_a 6.0581
_cell_length_b 3.4976
_cell_length_c 11.2841
_cell_angle_alpha 90.00
_cell_angle_beta 91.24
_cell_angle_gamma 90.00
loop_
_space_group_symop_operation_xyz
'x,y,z'
'-x,-y,-z'
'-x,y,-z'
'x,-y,z'
'x+1/2,y+1/2,z'
'-x+1/2,-y+1/2,-z'
'-x+1/2,y+1/2,-z'
'x+1/2,-y+1/2,z'
loop_
_atom_site_label
_atom_site_type_symbol
_atom_site_fract_x
_atom_site_fract_y
_atom_site_fract_z
Tb1 Tb 0.0066 0.0000 0.1625
B1 B 0.1665 0.5000 0.9948
Cl1 Cl 0.1798 0.5000 0.3257
```

The calculation puts the raw formation energy at -3.80 eV/f.u. Its distance to the lowest polymorph of the same formula is 0.000 eV per formula unit.


[9]
Here is an optimized crystal structure of La5Tl2Ru from Alexandria via LeMat-Bulk. Energies are from PBE.

Geometry as CIF:
```
data_La5Tl2Ru
_space_group_name_H-M_alt 'P b a m'
_space_group_IT_number 55
_cell_length_a 8.3364
_cell_length_b 12.5777
_cell_length_c 4.8913
_cell_angle_alpha 90.00
_cell_angle_beta 90.00
_cell_angle_gamma 90.00
loop_
_space_group_symop_operation_xyz
'x,y,z'
'-x,-y,-z'
'-x,-y,z'
'x,y,-z'
'x+1/2,-y+1/2,-z'
'-x+1/2,y+1/2,z'
'-x+1/2,y+1/2,-z'
'x+1/2,-y+1/2,z'
loop_
_atom_site_label
_atom_site_type_symbol
_atom_site_fract_x
_atom_site_fract_y
_atom_site_fract_z
La1 La 0.0000 0.0000 0.0000
La2 La 0.1337 0.3024 0.0000
La3 La 0.1843 0.5685 0.5000
Tl1 Tl 0.0775 0.8306 0.5000
Ru1 Ru 0.0000 0.5000 0.0000
```

Its distance to the lowest polymorph of the same formula is 0.000 eV per formula unit.


[10]
Here is an optimized crystal structure of YBeCl from Alexandria via LeMat-Bulk. Energies are from PBE.

Geometry as CIF:
```
data_YBeCl
_space_group_name_H-M_alt 'P 3 m 1'
_space_group_IT_number 156
_cell_length_a 3.6286
_cell_length_b 3.6286
_cell_length_c 7.5183
_cell_angle_alpha 90.00
_cell_angle_beta 90.00
_cell_angle_gamma 120.00
loop_
_space_group_symop_operation_xyz
'x,y,z'
'-y,x-y,z'
'-x+y,-x,z'
'-y,-x,z'
'-x+y,y,z'
'x,x-y,z'
loop_
_atom_site_label
_atom_site_type_symbol
_atom_site_fract_x
_atom_site_fract_y
_atom_site_fract_z
Y1 Y 0.0000 0.0000 0.0000
Be1 Be 0.6667 0.3333 0.2454
Cl1 Cl 0.3333 0.6667 0.7612
```

The calculation puts the raw formation energy at -1.01 eV/f.u. Its distance to the lowest polymorph of the same formula is 0.000 eV per formula unit.


[11]
Here is an optimized crystal structure of ZnSi3As from Alexandria via LeMat-Bulk. Energies are from PBE.

Geometry as CIF:
```
data_ZnSi3As
_space_group_name_H-M_alt 'P m -3 m'
_space_group_IT_number 221
_space_group_name_Hall '-P 4 2 3'
_cell_length_a 4.6562
_cell_length_b 4.6562
_cell_length_c 4.6562
_cell_angle_alpha 90.00
_cell_angle_beta 90.00
_cell_angle_gamma 90.00
loop_
_atom_site_label
_atom_site_type_symbol
_atom_site_fract_x
_atom_site_fract_y
_atom_site_fract_z
Zn1 Zn 0.0000 0.0000 0.0000
Si1 Si 0.0000 0.0000 0.5000
As1 As 0.5000 0.5000 0.5000
```

The calculation puts the raw formation energy at 4.81 eV/f.u. Its distance to the lowest polymorph of the same formula is 0.000 eV per formula unit.


[12]
Here is an optimized crystal structure of BaLi2La2Si2 from Alexandria via LeMat-Bulk. Energies are from PBE.

Geometry as CIF:
```
data_BaLi2La2Si2
_space_group_name_H-M_alt 'R -3 m'
_space_group_IT_number 166
_space_group_name_Hall '-R 3 2"'
_cell_length_a 4.7617
_cell_length_b 4.7617
_cell_length_c 28.9893
_cell_angle_alpha 90.00
_cell_angle_beta 90.00
_cell_angle_gamma 120.00
loop_
_atom_site_label
_atom_site_type_symbol
_atom_site_fract_x
_atom_site_fract_y
_atom_site_fract_z
Ba1 Ba 0.0000 0.0000 0.0000
Li1 Li 0.0000 0.0000 0.4162
La1 La 0.0000 0.0000 0.1328
Si1 Si 0.0000 0.0000 0.2493
```

The calculation puts the raw formation energy at -2.62 eV/f.u.


[13]
Here is an optimized crystal structure of Ho3Er2Mg3 from Alexandria via LeMat-Bulk. Energies are from PBE.

Geometry as CIF:
```
data_Ho3Er2Mg3
_space_group_name_H-M_alt 'I m m m'
_space_group_IT_number 71
_space_group_name_Hall '-I 2 2'
_cell_length_a 3.7170
_cell_length_b 5.3989
_cell_length_c 22.2602
_cell_angle_alpha 90.00
_cell_angle_beta 90.00
_cell_angle_gamma 90.00
loop_
_atom_site_label
_atom_site_type_symbol
_atom_site_fract_x
_atom_site_fract_y
_atom_site_fract_z
Ho1 Ho 0.0000 0.0000 0.0000
Ho2 Ho 0.0000 0.5000 0.1260
Er1 Er 0.0000 0.0000 0.2350
Mg1 Mg 0.0000 0.0000 0.5000
Mg2 Mg 0.0000 0.5000 0.3833
```

The value obtained for the final energy is -0.2578 Ry per atom.


[14]
Here is an optimized crystal structure of TiS2I from Alexandria via LeMat-Bulk. Energies are from PBE.

Geometry as CIF:
```
data_TiS2I
_space_group_name_H-M_alt 'I -4 2 d'
_space_group_IT_number 122
_space_group_name_Hall 'I -4 2bw'
_cell_length_a 6.9697
_cell_length_b 6.9697
_cell_length_c 10.1674
_cell_angle_alpha 90.00
_cell_angle_beta 90.00
_cell_angle_gamma 90.00
loop_
_atom_site_label
_atom_site_type_symbol
_atom_site_fract_x
_atom_site_fract_y
_atom_site_fract_z
Ti1 Ti 0.0000 0.0000 0.0000
S1 S 0.1027 0.2500 0.1250
I1 I 0.0000 0.0000 0.5000
```

The calculation puts the raw formation energy at -1.94 eV/f.u. Its distance to the lowest polymorph of the same formula is 1.589 eV per formula unit.


[15]
Here is an optimized crystal structure of HfGaI2O from Alexandria via LeMat-Bulk. Energies are from PBE.

Geometry as CIF:
```
data_HfGaI2O
_space_group_name_H-M_alt 'P 4/m m m'
_space_group_IT_number 123
_space_group_name_Hall '-P 4 2'
_cell_length_a 5.9035
_cell_length_b 5.9035
_cell_length_c 3.9809
_cell_angle_alpha 90.00
_cell_angle_beta 90.00
_cell_angle_gamma 90.00
loop_
_atom_site_label
_atom_site_type_symbol
_atom_site_fract_x
_atom_site_fract_y
_atom_site_fract_z
Hf1 Hf 0.0000 0.0000 0.0000
Ga1 Ga 0.5000 0.5000 0.5000
I1 I 0.0000 0.5000 0.0000
O1 O 0.0000 0.0000 0.5000
```

The calculation puts the raw formation energy at -5.26 eV/f.u. Its distance to the lowest polymorph of the same formula is 0.000 eV per formula unit.